[1]
The following is a DFT calculation (PBE) of an optimized crystal structure of HfTi2Zn2.

Cell lengths 7.4130, 7.4130, 3.1287 Å; angles 90.00, 90.00, 90.00 degrees
Closest atoms and distances in Å follow each position.
Fractional positions:
Zn (0.3788, 0.8788, 0.0000)  1 Zn 2.54, 6 Ti 2.63-2.74
Zn (0.6212, 0.1212, 0.0000)  1 Zn 2.54, 6 Ti 2.63-2.74
Zn (0.8788, 0.6212, 0.0000)  1 Zn 2.54, 6 Ti 2.63-2.74
Zn (0.1212, 0.3788, 0.0000)  1 Zn 2.54, 6 Ti 2.63-2.74
Ti (0.8227, 0.3227, 0.5000)  6 Zn 2.63-2.74
Ti (0.1773, 0.6773, 0.5000)  6 Zn 2.63-2.74
Ti (0.6773, 0.8227, 0.5000)  6 Zn 2.63-2.74
Ti (0.3227, 0.1773, 0.5000)  6 Zn 2.63-2.74
Hf (0.0000, 0.0000, 0.0000)  4 Zn 2.95, 2 Hf 3.13, 8 Ti 3.15
Hf (0.5000, 0.5000, 0.0000)  4 Zn 2.95, 2 Hf 3.13, 8 Ti 3.15

Results
For the density of states at the Fermi level, the calculation gives 6.24 states/eV/f.u. The calculation puts the total magnetic moment at 0.000 μB/f.u. The value obtained for the energy above the most stable polymorph in this dataset is 0 meV/atom.

[2]
The following is a DFT calculation (PBE) of an optimized crystal structure of Zn2RhW.

Cell lengths 4.7576, 4.7576, 4.7839 Å; angles 78.00, 78.00, 33.91 degrees
Closest atoms and distances in Å follow each position.
Fractional positions:
Zn (0.5048, 0.5048, 0.4928)  3 Rh 2.67-2.81, 6 Zn 2.72-2.81, 3 W 2.75-2.77
Zn (0.9952, 0.9952, 0.0072)  3 Rh 2.67-2.81, 6 Zn 2.72-2.81, 3 W 2.75-2.77
W (0.7500, 0.7500, 0.7500)  6 Zn 2.75-2.77, 4 Rh 2.77, 2 W 2.77
Rh (0.2500, 0.2500, 0.2500)  6 Zn 2.67-2.81, 4 W 2.77, 2 Rh 2.77

Results
For the density of states at the Fermi level, the calculation gives 2.93 states/eV/f.u. The calculation puts the total magnetic moment at 0.000 μB/f.u. The value obtained for the energy above the most stable polymorph in this dataset is 178 meV/atom.

[3]
The following is a DFT calculation (PBE) of an optimized crystal structure of Ba2TlSb2.

Cell lengths 5.1127, 7.1115, 11.6869 Å; angles 93.87, 77.37, 68.93 degrees
Closest atoms and distances in Å follow each position.
Fractional positions:
Ba (0.7044, 0.2207, 0.3705)  5 Sb 3.53-3.82, 1 Tl 3.64
Ba (0.8937, 0.2745, 0.9381)  2 Tl 3.36, 4 Sb 3.49-3.71
Ba (0.2956, 0.7793, 0.6295)  5 Sb 3.53-3.82, 1 Tl 3.64
Ba (0.1063, 0.7255, 0.0619)  2 Tl 3.36, 4 Sb 3.49-3.71
Sb (0.3733, 0.1353, 0.1181)  1 Sb 2.99
Sb (0.0490, 0.3008, 0.6012)  2 Tl 3.07
Sb (0.6267, 0.8647, 0.8819)  1 Sb 2.99
Sb (0.9510, 0.6992, 0.3988)  2 Tl 3.07
Tl (0.5277, 0.6956, 0.2489)  2 Sb 3.07, 2 Ba 3.36
Tl (0.4723, 0.3044, 0.7511)  2 Sb 3.07, 2 Ba 3.36

Results
The calculation puts the uncorrected formation energy at -718 meV per atom. For the density of states at the Fermi level, the calculation gives 0.29 states/eV/f.u. The calculation puts the total magnetic moment at 0.000 μB/f.u. The value obtained for the energy above the most stable polymorph in this dataset is 56 meV/atom.

[4]
The following is a DFT calculation (PBE) of an optimized crystal structure of SrCrPd.

Cell lengths 4.4304, 4.4299, 8.2318 Å; angles 74.43, 105.58, 90.00 degrees
Closest atoms and distances in Å follow each position.
Fractional positions:
Sr (0.0003, 0.2775, 0.9287)  4 Pd 3.31, 8 Cr 3.33
Sr (0.2503, 0.5275, 0.4287)  8 Pd 3.41, 4 Cr 3.48
Pd (0.6621, 0.1157, 0.2522)  2 Cr 2.59, 1 Pd 2.69
Pd (0.8385, 0.9393, 0.6052)  2 Cr 2.59, 1 Pd 2.69
Cr (0.5744, 0.7035, 0.0766)  1 Cr 2.25
Cr (0.4262, 0.8517, 0.7807)  1 Cr 2.25

Results
For the density of states at the Fermi level, the calculation gives 1.40 states/eV/f.u. The calculation puts the total magnetic moment at 0.000 μB/f.u. The value obtained for the energy above the most stable polymorph in this dataset is 65 meV/atom.

[5]
The following is a DFT calculation (PBE) of an optimized crystal structure of ScAl2HOs.

Cell lengths 4.8055, 3.4923, 4.8055 Å; angles 90.00, 90.00, 90.00 degrees
Closest atoms and distances in Å follow each position.
Fractional positions:
Sc (0.5000, 0.5000, 0.5000)  8 Al 2.97
H (0.0000, 0.5000, 0.0000)  2 Os 1.75
Al (0.5000, 0.0000, 0.0000)  2 Os 2.40
Al (0.0000, 0.0000, 0.5000)  2 Os 2.40
Os (0.0000, 0.0000, 0.0000)  2 H 1.75

Results
For the energy, the calculation gives -5.554 eV/atom. For the density of states at the Fermi level, the calculation gives 2.87 states/eV/f.u. The calculation puts the total magnetic moment at 0.000 μB/f.u.

[6]
The following is a DFT calculation (PBE) of an optimized crystal structure of Pr5Sm2DyTm.

Cell lengths 8.6107, 8.6107, 10.4789 Å; angles 114.26, 114.26, 90.00 degrees
Closest atoms and distances in Å follow each position.
Fractional positions:
Dy (0.7500, 0.7500, 0.5000)  8 Pr 3.57
Dy (0.2500, 0.2500, 0.5000)  8 Pr 3.57
Sm (0.6226, 0.1226, 0.0000)  1 Sm 2.99, 2 Pr 3.12
Sm (0.1226, 0.3774, 0.0000)  1 Sm 2.99, 2 Pr 3.12
Sm (0.3774, 0.8774, 0.0000)  1 Sm 2.99, 2 Pr 3.12
Sm (0.8774, 0.6226, 0.0000)  1 Sm 2.99, 2 Pr 3.12
Pr (0.5747, 0.6385, 0.7132)  1 Sm 3.12, 1 Tm 3.22
Pr (0.5000, 0.5000, 0.0000)  4 Sm 3.42
Pr (0.9253, 0.4253, 0.2868)  1 Sm 3.12, 1 Tm 3.22
Pr (0.6385, 0.1385, 0.7132)  1 Sm 3.12, 1 Tm 3.22
Pr (0.8615, 0.9253, 0.2868)  1 Sm 3.12, 1 Tm 3.22
Pr (0.3615, 0.8615, 0.2868)  1 Sm 3.12, 1 Tm 3.22
Pr (0.0000, 0.0000, 0.0000)  4 Sm 3.42
Pr (0.0747, 0.5747, 0.7132)  1 Sm 3.12, 1 Tm 3.22
Pr (0.4253, 0.3615, 0.2868)  1 Sm 3.12, 1 Tm 3.22
Pr (0.1385, 0.0747, 0.7132)  1 Sm 3.12, 1 Tm 3.22
Tm (0.2500, 0.7500, 0.5000)  4 Pr 3.22
Tm (0.7500, 0.2500, 0.5000)  4 Pr 3.22

Results
For the energy, the calculation gives -4.426 eV/atom. For the density of states at the Fermi level, the calculation gives 13.92 states/eV/f.u. The calculation puts the total magnetic moment at 0.000 μB/f.u.

[7]
The following is a DFT calculation (PBE) of an optimized crystal structure of KTaSb.

Cell lengths 4.2046, 4.2046, 9.8902 Å; angles 90.00, 90.00, 90.00 degrees
Closest atoms and distances in Å follow each position.
Fractional positions:
K (0.5000, 0.0000, 0.6469)  4 Sb 3.34
K (0.0000, 0.5000, 0.3531)  4 Sb 3.34
Sb (0.5000, 0.0000, 0.1983)  4 Ta 2.88
Sb (0.0000, 0.5000, 0.8017)  4 Ta 2.88
Ta (0.0000, 0.0000, 0.0000)  4 Sb 2.88, 4 Ta 2.97
Ta (0.5000, 0.5000, 0.0000)  4 Sb 2.88, 4 Ta 2.97

Results
The calculation puts the uncorrected formation energy at -101 meV per atom. For the density of states at the Fermi level, the calculation gives 3.35 states/eV/f.u. The calculation puts the total magnetic moment at 0.000 μB/f.u. The value obtained for the energy above the most stable polymorph in this dataset is 0 meV/atom.

[8]
The following is a DFT calculation (PBE) of an optimized crystal structure of Na10B13C7.

Cell lengths 7.6670, 7.6639, 9.0168 Å; angles 107.80, 107.82, 37.72 degrees
Closest atoms and distances in Å follow each position.
Fractional positions:
Na (0.7001, 0.7011, 0.5002)  7 B 2.65-2.74, 5 C 2.67-2.72, 6 Na 2.87-2.91
Na (0.1981, 0.2003, 0.9980)  8 B 2.63-2.83, 4 C 2.68-2.77, 6 Na 2.86-2.90
Na (0.5997, 0.6001, 0.9974)  4 C 2.68-2.75, 8 B 2.68-2.75, 6 Na 2.86-2.91
Na (0.7991, 0.8009, 0.9982)  8 B 2.63-2.82, 4 C 2.68-2.76, 6 Na 2.86-2.90
Na (0.5003, 0.5003, 0.5029)  4 C 2.68-2.74, 8 B 2.68-2.76, 6 Na 2.87-2.91
Na (0.0995, 0.1002, 0.5013)  6 B 2.65-2.72, 6 C 2.66-2.69, 6 Na 2.87-2.91
Na (0.9011, 0.9004, 0.5041)  9 B 2.63-2.83, 3 C 2.69-2.78, 6 Na 2.87-2.90
Na (0.3990, 0.3993, 0.9974)  4 C 2.67-2.74, 8 B 2.69-2.75, 6 Na 2.86-2.91
Na (0.0004, 0.9984, 0.9968)  7 B 2.62-2.74, 5 C 2.69-2.71, 6 Na 2.87-2.90
Na (0.3000, 0.3013, 0.5038)  9 B 2.65-2.84, 3 C 2.68-2.77, 6 Na 2.87-2.91
C (0.0158, 0.6816, 0.7509)  3 B 1.64-1.65
C (0.3779, 0.7225, 0.2507)  3 B 1.59-1.66
C (0.2184, 0.8841, 0.7499)  3 B 1.64-1.65
C (0.8240, 0.4809, 0.7479)  3 B 1.63-1.67
C (0.4184, 0.0752, 0.7488)  3 B 1.62-1.67
C (0.7828, 0.1271, 0.2502)  3 B 1.56-1.67
C (0.9726, 0.3180, 0.2507)  3 B 1.57-1.67
B (0.0844, 0.4153, 0.7491)  3 C 1.63-1.67
B (0.5701, 0.9320, 0.2495)  3 B 1.66-1.86
B (0.1200, 0.7913, 0.2502)  2 C 1.59-1.67, 1 B 1.73
B (0.6809, 0.0076, 0.7505)  2 C 1.63-1.64, 1 B 1.75
B (0.5509, 0.1642, 0.2498)  1 C 1.56, 1 B 1.66
B (0.4842, 0.8150, 0.7487)  3 C 1.62-1.67
B (0.3083, 0.9810, 0.2503)  2 C 1.59-1.67, 1 B 1.73
B (0.1685, 0.5291, 0.2498)  3 B 1.66-1.86
B (0.9355, 0.5502, 0.2500)  1 C 1.57, 1 B 1.66
B (0.2671, 0.6332, 0.7513)  2 C 1.65, 1 B 1.74
B (0.7126, 0.3876, 0.2504)  3 C 1.60-1.66
B (0.8921, 0.2191, 0.7497)  2 C 1.63-1.64, 1 B 1.75
B (0.6179, 0.2826, 0.7516)  3 B 1.74-1.75

Results
For the density of states at the Fermi level, the calculation gives 3.57 states/eV/f.u. The calculation puts the total magnetic moment at 0.000 μB/f.u. The value obtained for the energy above the most stable polymorph in this dataset is 28 meV/atom.

[9]
The following is a DFT calculation (PBE) of an optimized crystal structure of Ge2BiRh2.

Cell lengths 4.3863, 4.3863, 5.7262 Å; angles 67.48, 67.48, 90.00 degrees
Closest atoms and distances in Å follow each position.
Fractional positions:
Rh (0.7500, 0.2500, 0.5000)  4 Ge 2.49
Rh (0.2500, 0.7500, 0.5000)  4 Ge 2.49
Bi (0.0000, 0.0000, 0.0000)  8 Rh 3.26, 10 Ge 3.34-3.58
Ge (0.6282, 0.6282, 0.7437)  1 Ge 2.47, 4 Rh 2.49
Ge (0.3718, 0.3718, 0.2563)  1 Ge 2.47, 4 Rh 2.49

Results
For the density of states at the Fermi level, the calculation gives 2.32 states/eV/f.u. The calculation puts the total magnetic moment at 0.000 μB/f.u. The value obtained for the energy above the most stable polymorph in this dataset is 0 meV/atom.

[10]
The following is a DFT calculation (PBE) of an optimized crystal structure of NaTl2AgI5.

Cell lengths 4.4827, 10.8759, 14.5094 Å; angles 90.00, 90.00, 101.89 degrees
Closest atoms and distances in Å follow each position.
Fractional positions:
I (0.6511, 0.3022, 0.5076)  1 Na 3.22, 4 Tl 3.45-3.49
I (0.9618, 0.9236, 0.5422)  2 Ag 2.79
I (0.5054, 0.0108, 0.2641)  1 Ag 2.78
I (0.3145, 0.6291, 0.3658)  1 Ag 2.87, 2 Na 3.21
I (0.0382, 0.0764, 0.0422)  2 Ag 2.79
I (0.2958, 0.5915, 0.6773)  2 Na 3.17, 3 Tl 3.48
I (0.3489, 0.6978, 0.0076)  1 Na 3.22, 4 Tl 3.45-3.49
I (0.7042, 0.4085, 0.1773)  2 Na 3.17, 3 Tl 3.48
I (0.4946, 0.9892, 0.7641)  1 Ag 2.78
I (0.6855, 0.3709, 0.8658)  1 Ag 2.87, 2 Na 3.21
Tl (0.8695, 0.7390, 0.8254)  6 I 3.48-3.59
Tl (0.1324, 0.2648, 0.6866)  7 I 3.45-3.86
Tl (0.1305, 0.2610, 0.3254)  6 I 3.48-3.59
Tl (0.8676, 0.7352, 0.1866)  7 I 3.45-3.86
Ag (0.5582, 0.1164, 0.9319)  4 I 2.78-2.87
Ag (0.4418, 0.8836, 0.4319)  4 I 2.78-2.87
Na (0.8020, 0.6039, 0.5229)  6 I 3.17-3.41
Na (0.1980, 0.3961, 0.0229)  6 I 3.17-3.41

Results
The calculation puts the uncorrected formation energy at -571 meV per atom. For the density of states at the Fermi level, the calculation gives 9.00 states/eV/f.u. The calculation puts the total magnetic moment at 0.000 μB/f.u.

[11]
The following is a DFT calculation (PBE) of an optimized crystal structure of LiPaAgO5.

Cell lengths 5.8537, 5.8537, 8.1306 Å; angles 100.41, 100.41, 121.13 degrees
Closest atoms and distances in Å follow each position.
Fractional positions:
O (0.0850, 0.7264, 0.8940)  1 Pa 2.01, 1 Ag 2.15, 1 Li 2.22
O (0.0862, 0.9138, 0.2500)  1 Li 2.07, 2 Pa 2.21
O (0.2736, 0.9150, 0.6060)  1 Pa 2.01, 1 Ag 2.15, 1 Li 2.22
O (0.9150, 0.2736, 0.1060)  1 Pa 2.01, 1 Ag 2.15, 1 Li 2.22
O (0.5351, 0.5476, 0.4280)  1 O 1.42
O (0.4524, 0.4649, 0.0720)  1 O 1.42
O (0.7264, 0.0850, 0.3940)  1 Pa 2.01, 1 Ag 2.15, 1 Li 2.22
O (0.5476, 0.5351, 0.9280)  1 O 1.42
O (0.4649, 0.4524, 0.5720)  1 O 1.42
O (0.9138, 0.0862, 0.7500)  1 Li 2.07, 2 Pa 2.21
Pa (0.0000, 0.0000, 0.0000)  4 O 2.01-2.21
Pa (0.0000, 0.0000, 0.5000)  4 O 2.01-2.21
Ag (0.6665, 0.3335, 0.2500)  4 O 2.15-2.24
Ag (0.3335, 0.6665, 0.7500)  4 O 2.15-2.24
Li (0.7109, 0.2891, 0.7500)  3 O 2.07-2.22
Li (0.2891, 0.7109, 0.2500)  3 O 2.07-2.22

Results
The calculation puts the uncorrected formation energy at -1773 meV per atom. For the density of states at the Fermi level, the calculation gives 1.88 states/eV/f.u. The calculation puts the total magnetic moment at 0.000 μB/f.u.

[12]
The following is a DFT calculation (PBE) of an optimized crystal structure of Ba2Ag5Au3.

Cell lengths 6.4175, 9.5199, 9.5199 Å; angles 74.24, 70.30, 70.30 degrees
Closest atoms and distances in Å follow each position.
Fractional positions:
Ba (0.6268, 0.0988, 0.6477)  6 Au 3.45-3.70, 8 Ag 3.54-3.80
Ba (0.8732, 0.3523, 0.9012)  6 Au 3.45-3.70, 8 Ag 3.54-3.80
Ba (0.1268, 0.6477, 0.0988)  6 Au 3.45-3.70, 8 Ag 3.54-3.80
Ba (0.3732, 0.9012, 0.3523)  6 Au 3.45-3.70, 8 Ag 3.54-3.80
Ag (0.3539, 0.2443, 0.0478)  3 Au 2.77-2.81, 2 Ag 2.80
Ag (0.4584, 0.2916, 0.2916)  3 Ag 2.80-2.87, 2 Au 2.83
Ag (0.8539, 0.0478, 0.2443)  3 Au 2.77-2.81, 2 Ag 2.80
Ag (0.5416, 0.7084, 0.7084)  3 Ag 2.80-2.87, 2 Au 2.83
Ag (0.2500, 0.5000, 0.5000)  4 Ag 2.87-3.21, 4 Au 2.90
Ag (0.0416, 0.7084, 0.7084)  3 Ag 2.80-2.87, 2 Au 2.83
Ag (0.6461, 0.7557, 0.9522)  3 Au 2.77-2.81, 2 Ag 2.80
Ag (0.7500, 0.5000, 0.5000)  4 Ag 2.87-3.21, 4 Au 2.90
Ag (0.1461, 0.9522, 0.7557)  3 Au 2.77-2.81, 2 Ag 2.80
Ag (0.9584, 0.2916, 0.2916)  3 Ag 2.80-2.87, 2 Au 2.83
Au (0.8908, 0.7743, 0.4441)  5 Ag 2.77-2.90
Au (0.6092, 0.5559, 0.2257)  5 Ag 2.77-2.90
Au (0.1092, 0.2257, 0.5559)  5 Ag 2.77-2.90
Au (0.3908, 0.4441, 0.7743)  5 Ag 2.77-2.90
Au (0.2500, 0.0000, 0.0000)  4 Ag 2.81
Au (0.7500, 0.0000, 0.0000)  4 Ag 2.81

Results
For the energy, the calculation gives -3.113 eV/atom. For the density of states at the Fermi level, the calculation gives 2.31 states/eV/f.u. The calculation puts the total magnetic moment at 0.000 μB/f.u.